LiSmCd2Pd4 after structural relaxation. Source: Alexandria, functional PBE.

Structure (CIF):
```
data_LiSmCd2Pd4
_chemical_formula_sum 'Li3 Sm3 Cd6 Pd12'
_symmetry_space_group_name_H-M 'R -3 m'
_symmetry_Int_Tables_number 166
_symmetry_space_group_name_Hall '-R 3 2"'
_cell_length_a 4.6607
_cell_length_b 4.6607
_cell_length_c 23.2415
_cell_angle_alpha 90.00
_cell_angle_beta 90.00
_cell_angle_gamma 120.00
loop_
_atom_site_label
_atom_site_type_symbol
_atom_site_fract_x
_atom_site_fract_y
_atom_site_fract_z
_atom_site_occupancy
Li1 Li 0.0000 0.0000 0.0000 1
Sm1 Sm 0.0000 0.0000 0.5000 1
Cd1 Cd 0.0000 0.0000 0.2545 1
Pd1 Pd 0.0000 0.0000 0.1118 1
Pd2 Pd 0.0000 0.0000 0.3741 1
```

Calculated values
- Total moment: 0.0 μB per cell
- E_form: -547 meV/atom
- Crystal system: trigonal

=====

Ho6ErNi2 after structural relaxation. Source: Alexandria, functional PBE.

Structure (CIF):
```
data_Ho6ErNi2
_chemical_formula_sum 'Ho24 Er4 Ni8'
_symmetry_space_group_name_H-M 'I m m m'
_symmetry_Int_Tables_number 71
_symmetry_space_group_name_Hall '-I 2 2'
_cell_length_a 9.4811
_cell_length_b 9.6895
_cell_length_c 10.2500
_cell_angle_alpha 90.00
_cell_angle_beta 90.00
_cell_angle_gamma 90.00
loop_
_atom_site_label
_atom_site_type_symbol
_atom_site_fract_x
_atom_site_fract_y
_atom_site_fract_z
_atom_site_occupancy
Ho1 Ho 0.0000 0.2083 0.2441 1
Ho2 Ho 0.1885 0.5000 0.1802 1
Ho3 Ho 0.2113 0.3148 0.5000 1
Er1 Er 0.0000 0.0000 0.0000 1
Er2 Er 0.0000 0.0000 0.5000 1
Ni1 Ni 0.0000 0.3034 0.0000 1
Ni2 Ni 0.0000 0.5000 0.3797 1
```

Calculated values
- Total moment: 0.0 μB per cell
- E_form: -134 meV/atom
- Crystal system: orthorhombic

=====

BeAl2Cu after structural relaxation. Source: Alexandria, functional PBE.

Structure (CIF):
```
data_BeAl2Cu
_chemical_formula_sum 'Be1 Al2 Cu1'
_symmetry_space_group_name_H-M 'P m m 2'
_symmetry_Int_Tables_number 25
_cell_length_a 2.7096
_cell_length_b 3.6750
_cell_length_c 5.3073
_cell_angle_alpha 90.00
_cell_angle_beta 90.00
_cell_angle_gamma 90.00
loop_
_symmetry_equiv_pos_as_xyz
'x,y,z'
'-x,-y,z'
'-x,y,z'
'x,-y,z'
loop_
_atom_site_label
_atom_site_type_symbol
_atom_site_fract_x
_atom_site_fract_y
_atom_site_fract_z
_atom_site_occupancy
Be1 Be 0.0000 0.0000 0.0000 1
Al1 Al 0.0000 0.0000 0.4759 1
Al2 Al 0.5000 0.5000 0.7680 1
Cu1 Cu 0.5000 0.5000 0.2331 1
```

Calculated values
- Total moment: 0.0 μB per cell
- E_form: 49 meV/atom
- Crystal system: orthorhombic

=====

CaYHg4 after structural relaxation. Source: Alexandria, functional PBE.

Structure (CIF):
```
data_CaYHg4
_chemical_formula_sum 'Ca2 Y2 Hg8'
_symmetry_space_group_name_H-M 'C 1 2/m 1'
_symmetry_Int_Tables_number 12
_cell_length_a 10.6742
_cell_length_b 3.9018
_cell_length_c 7.9039
_cell_angle_alpha 90.00
_cell_angle_beta 112.00
_cell_angle_gamma 90.00
loop_
_symmetry_equiv_pos_as_xyz
'x,y,z'
'-x,-y,-z'
'-x,y,-z'
'x,-y,z'
'x+1/2,y+1/2,z'
'-x+1/2,-y+1/2,-z'
'-x+1/2,y+1/2,-z'
'x+1/2,-y+1/2,z'
loop_
_atom_site_label
_atom_site_type_symbol
_atom_site_fract_x
_atom_site_fract_y
_atom_site_fract_z
_atom_site_occupancy
Ca1 Ca 0.0000 0.0000 0.0000 1
Y1 Y 0.0000 0.0000 0.5000 1
Hg1 Hg 0.1672 0.5000 0.3378 1
Hg2 Hg 0.1693 0.5000 0.8299 1
```

Calculated values
- Total moment: 0.0 μB per cell
- E_form: -405 meV/atom
- Crystal system: monoclinic
- Energy above the most stable polymorph in this dataset: 0.024 eV/atom

=====

HfNbH3 after structural relaxation. Source: Alexandria, functional PBE.

Structure (CIF):
```
data_HfNbH3
_chemical_formula_sum 'Hf8 Nb8 H24'
_symmetry_space_group_name_H-M 'C 1 2/c 1'
_symmetry_Int_Tables_number 15
_cell_length_a 7.9553
_cell_length_b 9.4565
_cell_length_c 5.4494
_cell_angle_alpha 90.00
_cell_angle_beta 106.61
_cell_angle_gamma 90.00
loop_
_symmetry_equiv_pos_as_xyz
'x,y,z'
'-x,-y,-z'
'-x,y,-z+1/2'
'x,-y,z+1/2'
'x+1/2,y+1/2,z'
'-x+1/2,-y+1/2,-z'
'-x+1/2,y+1/2,-z+1/2'
'x+1/2,-y+1/2,z+1/2'
loop_
_atom_site_label
_atom_site_type_symbol
_atom_site_fract_x
_atom_site_fract_y
_atom_site_fract_z
_atom_site_occupancy
Hf1 Hf 0.0000 0.0991 0.2500 1
Hf2 Hf 0.0000 0.2987 0.7500 1
Nb1 Nb 0.1746 0.4064 0.3460 1
H1 H 0.0705 0.0971 0.6320 1
H2 H 0.1519 0.2386 0.1266 1
H3 H 0.1961 0.4126 0.9971 1
```

Calculated values
- Total moment: 0.0 μB per cell
- Crystal system: monoclinic
- Energy above the most stable polymorph in this dataset: 0.000 eV/atom

=====

K2HgTe after structural relaxation. Source: Alexandria, functional PBE.

Structure (CIF):
```
data_K2HgTe
_chemical_formula_sum 'K4 Hg2 Te2'
_symmetry_space_group_name_H-M 'I 4/m m m'
_symmetry_Int_Tables_number 139
_symmetry_space_group_name_Hall '-I 4 2'
_cell_length_a 6.0546
_cell_length_b 6.0546
_cell_length_c 12.6259
_cell_angle_alpha 90.00
_cell_angle_beta 90.00
_cell_angle_gamma 90.00
loop_
_atom_site_label
_atom_site_type_symbol
_atom_site_fract_x
_atom_site_fract_y
_atom_site_fract_z
_atom_site_occupancy
K1 K 0.0000 0.0000 0.2494 1
Hg1 Hg 0.0000 0.0000 0.0000 1
Te1 Te 0.0000 0.0000 0.5000 1
```

Calculated values
- Total moment: 0.0 μB per cell
- Uncorrected formation energy: -169 meV/atom
- Crystal system: tetragonal
- Energy above the most stable polymorph in this dataset: 0.605 eV/atom

=====

LiMgSi2 after structural relaxation. Source: Alexandria, functional PBE.

Structure (CIF):
```
data_LiMgSi2
_chemical_formula_sum 'Li4 Mg4 Si8'
_symmetry_space_group_name_H-M 'I -4 2 d'
_symmetry_Int_Tables_number 122
_symmetry_space_group_name_Hall 'I -4 2bw'
_cell_length_a 7.4153
_cell_length_b 7.4153
_cell_length_c 5.1296
_cell_angle_alpha 90.00
_cell_angle_beta 90.00
_cell_angle_gamma 90.00
loop_
_atom_site_label
_atom_site_type_symbol
_atom_site_fract_x
_atom_site_fract_y
_atom_site_fract_z
_atom_site_occupancy
Li1 Li 0.0000 0.0000 0.0000 1
Mg1 Mg 0.0000 0.0000 0.5000 1
Si1 Si 0.2367 0.7500 0.1250 1
```

Calculated values
- Total moment: 0.0 μB per cell
- Uncorrected formation energy: 312 meV/atom
- Crystal system: tetragonal

=====

SiAsRu2I after structural relaxation. Source: Alexandria, functional PBE.

Structure (CIF):
```
data_SiAsRu2I
_chemical_formula_sum 'Si1 As1 Ru2 I1'
_symmetry_space_group_name_H-M 'P 4/m m m'
_symmetry_Int_Tables_number 123
_symmetry_space_group_name_Hall '-P 4 2'
_cell_length_a 4.6809
_cell_length_b 4.6809
_cell_length_c 4.8765
_cell_angle_alpha 90.00
_cell_angle_beta 90.00
_cell_angle_gamma 90.00
loop_
_atom_site_label
_atom_site_type_symbol
_atom_site_fract_x
_atom_site_fract_y
_atom_site_fract_z
_atom_site_occupancy
Si1 Si 0.0000 0.0000 0.0000 1
As1 As 0.0000 0.0000 0.5000 1
Ru1 Ru 0.0000 0.5000 0.5000 1
I1 I 0.5000 0.5000 0.0000 1
```

Calculated values
- Total moment: 1.6 μB per cell
- Uncorrected formation energy: 1116 meV/atom
- Crystal system: tetragonal

=====

Repeat the first record exactly.
LiSmCd2Pd4 after structural relaxation. Source: Alexandria, functional PBE.

Structure (CIF):
```
data_LiSmCd2Pd4
_chemical_formula_sum 'Li3 Sm3 Cd6 Pd12'
_symmetry_space_group_name_H-M 'R -3 m'
_symmetry_Int_Tables_number 166
_symmetry_space_group_name_Hall '-R 3 2"'
_cell_length_a 4.6607
_cell_length_b 4.6607
_cell_length_c 23.2415
_cell_angle_alpha 90.00
_cell_angle_beta 90.00
_cell_angle_gamma 120.00
loop_
_atom_site_label
_atom_site_type_symbol
_atom_site_fract_x
_atom_site_fract_y
_atom_site_fract_z
_atom_site_occupancy
Li1 Li 0.0000 0.0000 0.0000 1
Sm1 Sm 0.0000 0.0000 0.5000 1
Cd1 Cd 0.0000 0.0000 0.2545 1
Pd1 Pd 0.0000 0.0000 0.1118 1
Pd2 Pd 0.0000 0.0000 0.3741 1
```

Calculated values
- Total moment: 0.0 μB per cell
- E_form: -547 meV/atom
- Crystal system: trigonal

=====

Copy entry 5 word for word.
HfNbH3 after structural relaxation. Source: Alexandria, functional PBE.

Structure (CIF):
```
data_HfNbH3
_chemical_formula_sum 'Hf8 Nb8 H24'
_symmetry_space_group_name_H-M 'C 1 2/c 1'
_symmetry_Int_Tables_number 15
_cell_length_a 7.9553
_cell_length_b 9.4565
_cell_length_c 5.4494
_cell_angle_alpha 90.00
_cell_angle_beta 106.61
_cell_angle_gamma 90.00
loop_
_symmetry_equiv_pos_as_xyz
'x,y,z'
'-x,-y,-z'
'-x,y,-z+1/2'
'x,-y,z+1/2'
'x+1/2,y+1/2,z'
'-x+1/2,-y+1/2,-z'
'-x+1/2,y+1/2,-z+1/2'
'x+1/2,-y+1/2,z+1/2'
loop_
_atom_site_label
_atom_site_type_symbol
_atom_site_fract_x
_atom_site_fract_y
_atom_site_fract_z
_atom_site_occupancy
Hf1 Hf 0.0000 0.0991 0.2500 1
Hf2 Hf 0.0000 0.2987 0.7500 1
Nb1 Nb 0.1746 0.4064 0.3460 1
H1 H 0.0705 0.0971 0.6320 1
H2 H 0.1519 0.2386 0.1266 1
H3 H 0.1961 0.4126 0.9971 1
```

Calculated values
- Total moment: 0.0 μB per cell
- Crystal system: monoclinic
- Energy above the most stable polymorph in this dataset: 0.000 eV/atom